! Li2TiV3O8 | Alexandria via LeMat-Bulk | PBE with a Hubbard U | optimized geometry; values from VASP
&SYSTEM
  ibrav = 0, nat = 28, ntyp = 4
/
ATOMIC_SPECIES
Li 6.94 Li.upf
Ti 47.87 Ti.upf
V 50.94 V.upf
O 16.00 O.upf
CELL_PARAMETERS angstrom
5.941 0.000 0.000
-0.101 6.034 0.000
-0.036 -0.096 8.601
ATOMIC_POSITIONS crystal
Li 0.000 0.000 0.000
Li 0.000 0.500 0.500
Li 0.500 0.000 0.000
Li 0.500 0.500 0.500
Ti 0.239 0.266 0.749
Ti 0.761 0.734 0.251
V 0.000 0.000 0.500
V 0.000 0.500 0.000
V 0.260 0.763 0.250
V 0.500 0.000 0.500
V 0.500 0.500 0.000
V 0.740 0.237 0.750
O 0.000 0.035 0.739
O 0.000 0.965 0.261
O 0.006 0.536 0.246
O 0.246 0.267 0.979
O 0.250 0.732 0.019
O 0.250 0.769 0.481
O 0.256 0.234 0.521
O 0.496 0.964 0.254
O 0.499 0.535 0.241
O 0.501 0.465 0.759
O 0.504 0.036 0.746
O 0.744 0.766 0.479
O 0.750 0.231 0.519
O 0.750 0.268 0.981
O 0.754 0.733 0.021
O 0.994 0.464 0.754
! Calculated total energy (eV per atom): -7.51
! Space group: P-1